No. 1
# Ce2GaIrPb | the Alexandria database | GGA-PBE | relaxed
data_Ce2GaIrPb
_chemical_formula_sum 'Ce4 Ga2 Ir2 Pb2'
_symmetry_space_group_name_H-M 'P 1 21/m 1'
_symmetry_Int_Tables_number 11
_symmetry_space_group_name_Hall '-P 2yb'
_cell_length_a 7.499
_cell_length_b 4.291
_cell_length_c 8.800
_cell_angle_alpha 90.00
_cell_angle_beta 114.96
_cell_angle_gamma 90.00
loop_
_atom_site_label
_atom_site_type_symbol
_atom_site_fract_x
_atom_site_fract_y
_atom_site_fract_z
_atom_site_occupancy
Ce1 Ce 0.137 0.250 0.334 1
Ce2 Ce 0.320 0.750 0.033 1
Ga1 Ga 0.197 0.250 0.715 1
Ir1 Ir 0.039 0.250 0.914 1
Pb1 Pb 0.400 0.750 0.651 1
# E_form	-535	meV/atom
# uncorrected energy	-60.28	eV/cell
# crystal system	monoclinic


No. 2
# ThS2IO8 | the Alexandria database | GGA-PBE | relaxed
data_ThS2IO8
_chemical_formula_sum 'Th1 S2 I1 O8'
_symmetry_space_group_name_H-M 'P -3 m 1'
_symmetry_Int_Tables_number 164
_symmetry_space_group_name_Hall '-P 3 2"'
_cell_length_a 5.8874
_cell_length_b 5.8874
_cell_length_c 8.4157
_cell_angle_alpha 90.00
_cell_angle_beta 90.00
_cell_angle_gamma 120.00
loop_
_atom_site_label
_atom_site_type_symbol
_atom_site_fract_x
_atom_site_fract_y
_atom_site_fract_z
_atom_site_occupancy
Th1 Th 0.0000 0.0000 0.0000 1
S1 S 0.3333 0.6667 0.7956 1
I1 I 0.0000 0.0000 0.5000 1
O1 O 0.1968 0.3936 0.8651 1
O2 O 0.3333 0.6667 0.6257 1
# uncorrected energy	-77.85	eV/cell
# crystal system	trigonal
# formation energy (no corrections)	-1.746	eV per atom


No. 3
# AsSe2BrF | the Alexandria database | GGA-PBE | relaxed
data_AsSe2BrF
_chemical_formula_sum 'As1 Se2 Br1 F1'
_symmetry_space_group_name_H-M 'P 4/m m m'
_symmetry_Int_Tables_number 123
_symmetry_space_group_name_Hall '-P 4 2'
_cell_length_a 5.095
_cell_length_b 5.095
_cell_length_c 5.324
_cell_angle_alpha 90.00
_cell_angle_beta 90.00
_cell_angle_gamma 90.00
loop_
_atom_site_label
_atom_site_type_symbol
_atom_site_fract_x
_atom_site_fract_y
_atom_site_fract_z
_atom_site_occupancy
As1 As 0.000 0.000 0.000 1
Se1 Se 0.000 0.500 0.500 1
Br1 Br 0.000 0.000 0.500 1
F1 F 0.500 0.500 0.000 1
# uncorrected energy	-10.41	eV/cell
# distance to the lowest polymorph of the same formula	14.28	kcal/mol of atoms
# crystal system	tetragonal
# formation energy (no corrections)	0.950	eV per atom


> Number 1 is which compound?

Ce2GaIrPb


> uncorrected energy of number 1 (Ce2GaIrPb)?

-60.28 eV/cell


> What is the formula in the second record?

ThS2IO8